1.
# InSbRh

A geometry-optimized InSbRh structure (PBE, Alexandria).

The structure in POSCAR format:
```
InSbRh
1.0
-1.5981 1.5981 6.2581
1.5981 -1.5981 6.2581
1.5981 1.5981 -6.2581
In Sb Rh
1 1 1
Direct
0.0000 0.0000 0.0000
0.2748 0.2748 0.0000
0.6472 0.6472 0.0000
```

Calculated values
**Total magnetic moment**: 0.00 μB per cell
**Space-group type**: No. 107
**E_form (uncorrected)**: -0.188 eV per atom



2.
# PaAl4W

A geometry-optimized PaAl4W structure (PBE, Alexandria).

The structure in POSCAR format:
```
PaAl4W
1.0
0.0000 3.7493 3.7493
3.7493 0.0000 3.7493
3.7493 3.7493 0.0000
Pa Al W
1 4 1
Direct
0.0000 0.0000 0.0000
0.3756 0.3756 0.3756
0.3756 0.3756 0.8731
0.3756 0.8731 0.3756
0.8731 0.3756 0.3756
0.7500 0.7500 0.7500
```

Calculated values
**Total magnetic moment**: 0.03 μB per cell
**Space-group type**: No. 216
**E_form**: 28.9 kJ/mol of formula units



3.
# DyZr2In

A geometry-optimized DyZr2In structure (PBE, Alexandria).

The structure in POSCAR format:
```
DyZr2In
1.0
4.5796 0.0000 0.0000
0.0000 4.5796 0.0000
0.0000 0.0000 4.5710
Dy Zr In
1 2 1
Direct
0.0000 0.0000 0.0000
0.0000 0.5000 0.5000
0.5000 0.0000 0.5000
0.5000 0.5000 0.0000
```

Calculated values
**Total magnetic moment**: 0.00 μB per cell
**ΔE to the lowest computed polymorph**: 22 meV per atom
**Space-group type**: No. 123
**E_form**: -72.4 kJ/mol of formula units



4.
# GdHoTmAg

A geometry-optimized GdHoTmAg structure (PBE, Alexandria).

The structure in POSCAR format:
```
GdHoTmAg
1.0
0.0000 3.7865 3.7865
3.7865 0.0000 3.7865
3.7865 3.7865 0.0000
Gd Ho Tm Ag
1 1 1 1
Direct
0.0000 0.0000 0.0000
0.5000 0.5000 0.5000
0.2500 0.2500 0.2500
0.7500 0.7500 0.7500
```

Calculated values
**Total magnetic moment**: 7.39 μB per cell
**Space-group type**: No. 216
**E_form**: 17.8 kJ/mol of formula units



5.
# TlAgTeS

A geometry-optimized TlAgTeS structure (PBE, Alexandria).

The structure in POSCAR format:
```
TlAgTeS
1.0
2.2428 1.2949 7.2663
-2.2428 1.2949 7.2663
0.0000 -2.5898 7.2663
Tl Ag Te S
1 1 1 1
Direct
0.0000 0.0000 0.0000
0.5049 0.5049 0.5049
0.1327 0.1327 0.1327
0.6223 0.6223 0.6223
```

Calculated values
**Total magnetic moment**: 0.00 μB per cell
**Space-group type**: No. 160
**E_form (uncorrected)**: -0.075 eV per atom



6.
# HoTm7Sn2

A geometry-optimized HoTm7Sn2 structure (PBE, Alexandria).

The structure in POSCAR format:
```
HoTm7Sn2
1.0
4.5036 -7.5963 0.0000
4.5036 7.5963 0.0000
0.0000 0.0000 5.3841
Ho Tm Sn
1 7 2
Direct
0.0000 0.0000 0.0000
0.0580 0.3041 0.5000
0.2266 0.7734 0.0000
0.3041 0.0580 0.5000
0.5000 0.5000 0.5000
0.6959 0.9420 0.5000
0.7734 0.2266 0.0000
0.9420 0.6959 0.5000
0.3044 0.6956 0.5000
0.6956 0.3044 0.5000
```

Calculated values
**Total magnetic moment**: 0.66 μB per cell
**Space-group type**: No. 65
**E_form**: 183.3 kJ/mol of formula units



7.
# CoRuCl3

A geometry-optimized CoRuCl3 structure (PBE, Alexandria).

The structure in POSCAR format:
```
CoRuCl3
1.0
3.3785 0.0000 0.0000
0.0000 7.8552 0.0000
-1.6962 0.0000 7.9783
Co Ru Cl
2 2 6
Direct
0.1907 0.2500 0.3820
0.8093 0.7500 0.6180
0.3369 0.2500 0.6728
0.6631 0.7500 0.3272
0.0579 0.7500 0.1176
0.3413 0.5539 0.6817
0.3413 0.9461 0.6817
0.6587 0.0539 0.3183
0.6587 0.4461 0.3183
0.9421 0.2500 0.8824
```

Calculated values
**Total magnetic moment**: 4.97 μB per cell
**ΔE to the lowest computed polymorph**: 156 meV per atom
**Space-group type**: No. 11
**E_form (uncorrected)**: -0.092 eV per atom



8.
# Sm8Ir5Au

A geometry-optimized Sm8Ir5Au structure (PBE, Alexandria).

The structure in POSCAR format:
```
Sm8Ir5Au
1.0
-4.4321 4.4321 4.3950
4.4321 -4.4321 4.3950
4.4321 4.4321 -4.3950
Sm Ir Au
8 5 1
Direct
0.1187 0.3637 0.1120
0.1220 0.3691 0.6304
0.2517 0.0067 0.8880
0.5085 0.8780 0.2472
0.6309 0.2613 0.7528
0.6363 0.7483 0.7550
0.7387 0.4915 0.3696
0.9933 0.8813 0.2450
0.0072 0.6304 0.8833
0.3696 0.2529 0.3767
0.5000 0.5000 0.0000
0.7471 0.1239 0.1167
0.8761 0.9928 0.6233
0.2500 0.7500 0.5000
```

Calculated values
**Total magnetic moment**: 0.00 μB per cell
**Space-group type**: No. 82
**E_form**: -920.6 kJ/mol of formula units



9.
# ZrSc2Cd

A geometry-optimized ZrSc2Cd structure (PBE, Alexandria).

The structure in POSCAR format:
```
ZrSc2Cd
1.0
3.3235 -4.3059 0.0000
3.3235 4.3059 0.0000
-0.0171 0.0000 3.2078
Zr Sc Cd
1 2 1
Direct
0.0000 0.0000 0.0000
0.0000 0.5000 0.5000
0.5000 0.0000 0.5000
0.5000 0.5000 0.0000
```

Calculated values
**Total magnetic moment**: 0.56 μB per cell
**ΔE to the lowest computed polymorph**: 140 meV per atom
**Space-group type**: No. 12
**E_form**: -12.4 kJ/mol of formula units



10.
# La5NiAg

A geometry-optimized La5NiAg structure (PBE, Alexandria).

The structure in POSCAR format:
```
La5NiAg
1.0
5.0906 -3.7444 0.0000
5.0906 3.7444 0.0000
-3.6120 0.0000 11.3261
La Ni Ag
10 2 2
Direct
0.0252 0.9748 0.7500
0.0554 0.4301 0.1401
0.2095 0.5610 0.4495
0.4301 0.0554 0.6401
0.4390 0.7905 0.0505
0.5610 0.2095 0.9495
0.5699 0.9446 0.3599
0.7905 0.4390 0.5505
0.9446 0.5699 0.8599
0.9748 0.0252 0.2500
0.0000 0.0000 0.0000
0.0000 0.0000 0.5000
0.4383 0.5617 0.7500
0.5617 0.4383 0.2500
```

Calculated values
**Total magnetic moment**: 0.00 μB per cell
**Space-group type**: No. 15
**E_form**: -56.4 kJ/mol of formula units



11.
# RbU2CuS4

A geometry-optimized RbU2CuS4 structure (PBE, Alexandria).

The structure in POSCAR format:
```
RbU2CuS4
1.0
1.9712 -6.9082 0.0000
1.9712 6.9082 0.0000
0.0000 0.0000 13.7859
Rb U Cu S
2 4 2 8
Direct
0.1041 0.8959 0.7500
0.8959 0.1041 0.2500
0.3676 0.6324 0.5580
0.3676 0.6324 0.9420
0.6324 0.3676 0.0580
0.6324 0.3676 0.4420
0.1689 0.8311 0.2500
0.8311 0.1689 0.7500
0.0000 0.0000 0.0000
0.0000 0.0000 0.5000
0.2619 0.7381 0.1097
0.2619 0.7381 0.3903
0.4208 0.5792 0.7500
0.5792 0.4208 0.2500
0.7381 0.2619 0.6097
0.7381 0.2619 0.8903
```

Calculated values
**Total magnetic moment**: 11.30 μB per cell
**Space-group type**: No. 63
**E_form (uncorrected)**: -1.191 eV per atom



12.
# DyLuScMn

A geometry-optimized DyLuScMn structure (PBE, Alexandria).

The structure in POSCAR format:
```
DyLuScMn
1.0
0.0000 3.6390 3.6390
3.6390 0.0000 3.6390
3.6390 3.6390 0.0000
Dy Lu Sc Mn
1 1 1 1
Direct
0.0000 0.0000 0.0000
0.5000 0.5000 0.5000
0.2500 0.2500 0.2500
0.7500 0.7500 0.7500
```

Calculated values
**Total magnetic moment**: 2.31 μB per cell
**Space-group type**: No. 216
**E_form**: 85.6 kJ/mol of formula units



13.
# Pr2NdIn2

A geometry-optimized Pr2NdIn2 structure (PBE, Alexandria).

The structure in POSCAR format:
```
Pr2NdIn2
1.0
2.3251 -9.0804 0.0000
2.3251 9.0804 0.0000
0.0000 0.0000 3.6114
Pr Nd In
2 1 2
Direct
0.1827 0.8173 0.0000
0.8173 0.1827 0.0000
0.0000 0.0000 0.0000
0.4021 0.5979 0.5000
0.5979 0.4021 0.5000
```

Calculated values
**Total magnetic moment**: 0.00 μB per cell
**ΔE to the lowest computed polymorph**: 90 meV per atom
**Space-group type**: No. 65
**E_form**: -144.4 kJ/mol of formula units



14.
# VInSeN2

A geometry-optimized VInSeN2 structure (PBE, Alexandria).

The structure in POSCAR format:
```
VInSeN2
1.0
4.0625 0.0000 0.0000
0.0000 4.0625 0.0000
0.0000 0.0000 5.6148
V In Se N
1 1 1 2
Direct
0.0000 0.0000 0.0000
0.5000 0.5000 0.5000
0.5000 0.5000 0.0000
0.0000 0.5000 0.5000
0.5000 0.0000 0.5000
```

Calculated values
**Total magnetic moment**: 1.05 μB per cell
**Space-group type**: No. 123
**E_form (uncorrected)**: 1.724 eV per atom